Record 1
First-principles (PBE) data for a relaxed SrSiSe3 crystal, as listed in Alexandria via LeMat-Bulk.

## Properties
**Symmetry**: No. 14
**Raw formation energy**: -1.054 eV/atom

Geometry as POSCAR:
```
SrSiSe3
1.0
7.174 0.000 -1.243
0.000 8.246 0.000
0.318 0.000 10.979
Sr Si Se
4 4 12
Direct
0.000 0.668 0.290
0.500 0.168 0.210
0.000 0.332 0.710
0.500 0.832 0.790
0.502 0.608 0.114
0.998 0.108 0.386
0.498 0.392 0.886
0.002 0.892 0.614
0.161 0.660 0.603
0.339 0.160 0.897
0.839 0.340 0.397
0.661 0.840 0.103
0.895 0.970 0.786
0.605 0.470 0.714
0.105 0.030 0.214
0.395 0.530 0.286
0.782 0.909 0.436
0.718 0.409 0.064
0.218 0.091 0.564
0.282 0.591 0.936
```

Record 2
First-principles (PBE) data for a relaxed NiCSe2 crystal, as listed in Alexandria via LeMat-Bulk.

## Properties
**Symmetry**: No. 166
**Raw formation energy**: 0.744 eV/atom

Geometry as POSCAR:
```
NiCSe2
1.0
2.188 0.000 5.917
-1.094 1.895 5.917
-1.094 -1.895 5.917
Ni C Se
1 1 2
Direct
0.500 0.500 0.500
0.000 0.000 0.000
0.901 0.901 0.901
0.099 0.099 0.099
```

Record 3
First-principles (PBE) data for a relaxed Tm2Ge3Ru2 crystal, as listed in Alexandria via LeMat-Bulk.

## Properties
**Symmetry**: No. 12

Geometry as POSCAR:
```
Tm2Ge3Ru2
1.0
4.180 0.000 0.000
0.000 7.225 0.079
-2.090 -2.201 4.826
Tm Ge Ru
2 3 2
Direct
0.585 0.818 0.171
0.415 0.182 0.829
0.000 0.500 0.000
0.275 0.754 0.550
0.725 0.246 0.450
0.834 0.634 0.669
0.166 0.366 0.331
```

Record 4
First-principles (PBE) data for a relaxed Pr4Ni2Br5 crystal, as listed in Alexandria via LeMat-Bulk.

## Properties
**Symmetry**: No. 71
**Raw formation energy**: -1.122 eV/atom

Geometry as POSCAR:
```
Pr4Ni2Br5
1.0
-2.279 0.891 3.141
-2.091 -8.383 0.860
9.538 2.495 3.689
Pr Ni Br
4 2 5
Direct
0.693 0.693 0.386
0.000 0.285 0.000
0.307 0.307 0.614
0.000 0.715 0.000
0.559 0.559 0.117
0.441 0.441 0.883
0.168 0.393 0.336
0.832 0.607 0.664
0.168 0.943 0.336
0.500 0.000 0.000
0.832 0.057 0.664
```

Record 5
First-principles (PBE) data for a relaxed Sr3Ge5Rh6 crystal, as listed in Alexandria via LeMat-Bulk.

## Properties
**Symmetry**: No. 59

Geometry as POSCAR:
```
Sr3Ge5Rh6
1.0
4.093 0.000 0.000
0.000 10.334 0.000
0.000 0.000 12.967
Sr Ge Rh
6 10 12
Direct
0.000 0.252 0.651
0.500 0.748 0.151
0.500 0.748 0.849
0.000 0.258 0.000
0.500 0.742 0.500
0.000 0.252 0.349
0.000 0.508 0.873
0.000 0.853 0.676
0.000 0.906 0.000
0.500 0.492 0.627
0.500 0.094 0.500
0.000 0.508 0.127
0.500 0.492 0.373
0.000 0.853 0.324
0.500 0.147 0.824
0.500 0.147 0.176
0.000 0.011 0.830
0.500 0.989 0.670
0.500 0.399 0.802
0.500 0.504 0.000
0.000 0.496 0.500
0.000 0.601 0.698
0.000 0.601 0.302
0.500 0.029 0.000
0.000 0.011 0.170
0.500 0.399 0.198
0.000 0.971 0.500
0.500 0.989 0.330
```

Record 6
First-principles (PBE) data for a relaxed IrC2 crystal, as listed in Alexandria via LeMat-Bulk.

## Properties
**Symmetry**: No. 227

Geometry as POSCAR:
```
IrC2
1.0
1.949 -3.890 0.298
2.536 -0.911 3.429
-1.330 -2.882 2.991
Ir C
2 4
Direct
0.500 0.500 0.500
0.750 0.750 0.750
0.625 0.125 0.125
0.125 0.625 0.125
0.125 0.125 0.625
0.125 0.125 0.125
```

Record 7
First-principles (PBE) data for a relaxed Si2AsP crystal, as listed in Alexandria via LeMat-Bulk.

## Properties
**Symmetry**: No. 139
**Raw formation energy**: 0.649 eV/atom

Geometry as POSCAR:
```
Si2AsP
1.0
4.995 0.100 0.000
1.755 4.678 0.000
-3.375 -2.389 2.804
As P Si
1 1 2
Direct
0.250 0.750 0.500
0.750 0.250 0.500
0.000 0.000 0.000
0.500 0.500 0.000
```

Record 8
First-principles (PBE) data for a relaxed IrNF2 crystal, as listed in Alexandria via LeMat-Bulk.

## Properties
**Symmetry**: No. 166
**Raw formation energy**: 1.084 eV/atom

Geometry as POSCAR:
```
IrNF2
1.0
-5.067 -5.887 -1.289
-3.624 -6.962 0.627
-5.627 -5.369 1.226
N Ir F
1 1 2
Direct
0.000 0.000 0.000
0.500 0.500 0.500
0.928 0.928 0.928
0.072 0.072 0.072
```

Record 9
First-principles (PBE) data for a relaxed La2Re crystal, as listed in Alexandria via LeMat-Bulk.

## Properties
**Symmetry**: No. 63

Geometry as POSCAR:
```
La2Re
1.0
1.810 -7.979 0.000
1.810 7.979 0.000
0.000 0.000 5.641
La Re
4 2
Direct
0.785 0.215 0.750
0.929 0.071 0.250
0.071 0.929 0.750
0.215 0.785 0.250
0.420 0.580 0.750
0.580 0.420 0.250
```

Record 10
First-principles (PBE) data for a relaxed Ac7Sn4N crystal, as listed in Alexandria via LeMat-Bulk.

## Properties
**Symmetry**: No. 12
**Raw formation energy**: -0.572 eV/atom

Geometry as POSCAR:
```
Ac7Sn4N
1.0
-0.413 5.335 -1.332
0.821 0.416 -10.004
-8.639 1.487 -2.781
Ac Sn N
7 4 1
Direct
0.785 0.863 0.566
0.215 0.137 0.434
0.066 0.758 0.110
0.934 0.242 0.890
0.361 0.542 0.736
0.500 0.000 0.000
0.639 0.458 0.264
0.578 0.217 0.627
0.422 0.783 0.373
0.721 0.657 0.900
0.279 0.343 0.100
0.000 0.000 0.000
```

Record 11
First-principles (PBE) data for a relaxed Pu2InGe4Pd3 crystal, as listed in Alexandria via LeMat-Bulk.

## Properties
**Symmetry**: No. 115

Geometry as POSCAR:
```
Pu2InGe4Pd3
1.0
-0.369 1.203 -4.075
-0.690 -4.053 -1.134
-10.750 1.440 1.398
Pu In Ge Pd
2 1 4 3
Direct
0.500 0.000 0.238
0.000 0.500 0.762
0.500 0.500 0.500
0.500 0.500 0.000
0.000 0.000 0.000
0.500 0.000 0.653
0.000 0.500 0.347
0.000 0.000 0.500
0.500 0.000 0.876
0.000 0.500 0.124
```

Record 12
First-principles (PBE) data for a relaxed BaY2Al crystal, as listed in Alexandria via LeMat-Bulk.

## Properties
**Symmetry**: No. 123

Geometry as POSCAR:
```
BaY2Al
1.0
-1.453 0.166 -3.344
-3.172 -1.233 1.319
-2.930 9.401 1.741
Y Ba Al
2 1 1
Direct
0.000 0.000 0.071
0.000 0.000 0.429
0.500 0.500 0.750
0.500 0.500 0.250
```

Results for V: 653, 74, 146, 324, 548, 59, 65, 46, 163, 461, 199, 133 (in Å³/cell, following the order of the records).
Results for calculated total energy: -0.16779, -0.17453, -0.22972, -0.17169, -0.21509, -0.21867, -0.16820, -0.15243, -0.25936, -0.18363, -0.25812, -0.17388 (in hartree per atom, following the order of the records).
Results for mass density: 3588, 5157, 8593, 5532, 7529, 12243, 4139, 8770, 9458, 7482, 10122, 4265 (in kg/m3, following the order of the records).